# 1
! PBE Pr2BrClO2, relaxed; values from VASP
&SYSTEM
  ibrav = 0, nat = 6, ntyp = 4
/
ATOMIC_SPECIES
Pr 140.91 Pr.upf
Br 79.90 Br.upf
Cl 35.45 Cl.upf
O 16.00 O.upf
ATOMIC_POSITIONS crystal
Pr 0.0000 0.0000 0.0000
Pr 0.5000 0.5000 0.3328
Br 0.0000 0.0000 0.5466
Cl 0.5000 0.5000 0.8144
O 0.0000 0.5000 0.1682
O 0.5000 0.0000 0.1682
CELL_PARAMETERS angstrom
4.0788 0.0000 0.0000
0.0000 4.0788 0.0000
0.0000 0.0000 7.2349
! Uncorrected energy: -6.75 eV/atom
! Magnetic moment: 0.0 μB/cell



# 2
! PBE HfSi2As, relaxed; values from VASP
&SYSTEM
  ibrav = 0, nat = 4, ntyp = 3
/
ATOMIC_SPECIES
Hf 178.49 Hf.upf
Si 28.09 Si.upf
As 74.92 As.upf
ATOMIC_POSITIONS crystal
Hf 0.0000 0.0000 0.0000
Si 0.2500 0.2500 0.2500
Si 0.5000 0.5000 0.5000
As 0.7500 0.7500 0.7500
CELL_PARAMETERS angstrom
0.0000 3.2842 3.2842
3.2842 0.0000 3.2842
3.2842 3.2842 0.0000
! Uncorrected energy: -6.14 eV/atom
! Magnetic moment: 0.0 μB/cell



# 3
! PBE Pr2Nd2NCl5, relaxed; values from VASP
&SYSTEM
  ibrav = 0, nat = 10, ntyp = 4
/
ATOMIC_SPECIES
Pr 140.91 Pr.upf
Nd 144.24 Nd.upf
N 14.01 N.upf
Cl 35.45 Cl.upf
ATOMIC_POSITIONS crystal
Pr 0.1454 0.1454 0.0863
Pr 0.8546 0.8546 0.9137
Nd 0.4989 0.4989 0.2109
Nd 0.5011 0.5011 0.7891
N 0.0000 0.0000 0.0000
Cl 0.0000 0.0000 0.5000
Cl 0.3297 0.3297 0.1654
Cl 0.3366 0.3366 0.6453
Cl 0.6634 0.6634 0.3547
Cl 0.6703 0.6703 0.8346
CELL_PARAMETERS angstrom
8.8051 -1.9035 0.0000
8.8051 1.9035 0.0000
-2.1014 0.0000 7.7843
! Uncorrected energy: -5.54 eV/atom
! Magnetic moment: 0.0 μB/cell